Compound: CrFe4Re2
Source: the Alexandria database
Functional: PBE
Structure: relaxed

Properties
Mass density ... 11.9 g/cm³
N(E_F) ... 8.82 states/eV per cell
Symmetry ... No. 65
DFT formation energy ... 177 meV/atom
Total magnetic moment ... 7.0 μB/f.u.

Lattice parameters (Å, degrees): 4.5950 4.5950 4.8878 90.00 90.00 119.12
Last column: nearest neighbours and their distance in Å.
Positions (direct):
Cr1 0.0000 0.0000 0.0000  4 Fe 2.30
Fe1 0.0000 0.5000 0.0000  2 Cr 2.30, 2 Fe 2.33
Fe2 0.1654 0.8346 0.5000  7 Fe 2.62-2.79, 2 Cr 2.77, 6 Re 2.90-2.92
Fe3 0.5000 0.0000 0.0000  2 Cr 2.30, 2 Fe 2.33
Fe4 0.8346 0.1654 0.5000  7 Fe 2.62-2.79, 2 Cr 2.77, 6 Re 2.90-2.92
Re1 0.5000 0.5000 0.2573  2 Re 2.37-2.51, 4 Fe 2.62, 2 Cr 2.65
Re2 0.5000 0.5000 0.7427  2 Re 2.37-2.51, 4 Fe 2.62, 2 Cr 2.65